ZrAs | PBE | optimized geometry

a b c (Å): 11.4506 5.4207 5.2263
angles (deg): 90.00 90.00 90.00
Closest atoms and distances in Å follow each position.
Atoms (fractional coordinates):
Zr 0.6859 0.5000 0.5000  8 As 2.82-3.05
Zr 0.5588 0.0000 0.0000  6 As 2.70-2.87
Zr 0.2571 0.7483 0.0000  2 Zr 2.69-2.73, 2 As 2.74-2.84
Zr 0.1079 0.5000 0.5000  6 As 2.70-2.87
Zr 0.9808 0.0000 0.0000  8 As 2.82-3.05
Zr 0.4095 0.7517 0.5000  2 Zr 2.69-2.73, 2 As 2.74-2.84
Zr 0.2571 0.2517 0.0000  2 Zr 2.69-2.73, 2 As 2.74-2.84
Zr 0.4095 0.2483 0.5000  2 Zr 2.69-2.73, 2 As 2.74-2.84
As 0.6181 0.0000 0.5000  6 Zr 2.70-2.82
As 0.1914 0.0000 0.5000  8 Zr 2.84-3.04
As 0.0486 0.5000 0.0000  6 Zr 2.70-2.82
As 0.8979 0.7701 0.5000  1 As 2.49
As 0.8979 0.2299 0.5000  1 As 2.49
As 0.7688 0.2701 0.0000  1 As 2.49
As 0.4752 0.5000 0.0000  8 Zr 2.84-3.04
As 0.7688 0.7299 0.0000  1 As 2.49

Calculated values
The calculated total energy is -14.441 eV per formula unit.